No. 1
KHCS2N | GGA-PBEsol | relaxed

Properties
Its space-group type is Pbcn. The crystal system is orthorhombic. The total energy comes out at -5.563 eV/atom.

Unit cell a=6.6388 b=10.6961 c=12.8864 alpha=90.00 beta=90.00 gamma=90.00
Positions (direct):
K: 0.8000 0.5437 0.1437
K: 0.7000 0.0437 0.3563
K: 0.7000 0.4563 0.6437
K: 0.8000 0.9563 0.8563
K: 0.2000 0.4563 0.8563
K: 0.3000 0.9563 0.6437
K: 0.3000 0.5437 0.3563
K: 0.2000 0.0437 0.1437
H: 0.4863 0.6254 0.9715
H: 0.0137 0.1254 0.5285
H: 0.0137 0.3746 0.4715
H: 0.4863 0.8746 0.0285
H: 0.5137 0.3746 0.0285
H: 0.9863 0.8746 0.4715
H: 0.9863 0.6254 0.5285
H: 0.5137 0.1254 0.9715
C: 0.2863 0.6463 0.0952
C: 0.2137 0.1463 0.4048
C: 0.2137 0.3537 0.5952
C: 0.2863 0.8537 0.9048
C: 0.7137 0.3537 0.9048
C: 0.7863 0.8537 0.5952
C: 0.7863 0.6463 0.4048
C: 0.7137 0.1463 0.0952
S: 0.2901 0.4869 0.1148
S: 0.2099 0.9869 0.3852
S: 0.2099 0.5131 0.6148
S: 0.2901 0.0131 0.8852
S: 0.7099 0.5131 0.8852
S: 0.7901 0.0131 0.6148
S: 0.7901 0.4869 0.3852
S: 0.7099 0.9869 0.1148
S: 0.1500 0.7440 0.1698
S: 0.3500 0.2440 0.3302
S: 0.3500 0.2560 0.6698
S: 0.1500 0.7560 0.8302
S: 0.8500 0.2560 0.8302
S: 0.6500 0.7560 0.6698
S: 0.6500 0.7440 0.3302
S: 0.8500 0.2440 0.1698
N: 0.4004 0.6886 0.0150
N: 0.0996 0.1886 0.4850
N: 0.0996 0.3114 0.5150
N: 0.4004 0.8114 0.9850
N: 0.5996 0.3114 0.9850
N: 0.9004 0.8114 0.5150
N: 0.9004 0.6886 0.4850
N: 0.5996 0.1886 0.0150

=====

No. 2
K3NdH6C6O15 | GGA-PBEsol | relaxed

Properties
Its space-group type is P-1. The crystal system is triclinic. The total energy comes out at -6.831 eV/atom.

Unit cell a=8.5147 b=9.2968 c=9.6849 alpha=98.55 beta=91.46 gamma=95.20
Positions (direct):
K: 0.6447 0.2014 0.6968
K: 0.9528 0.6852 0.6143
K: 0.3553 0.7986 0.3032
K: 0.7062 0.8647 0.8886
K: 0.2938 0.1353 0.1114
K: 0.0472 0.3148 0.3857
Nd: 0.2282 0.3552 0.7761
Nd: 0.7718 0.6448 0.2239
H: 0.7370 0.8888 0.4820
H: 0.3699 0.2507 0.4917
H: 0.2720 0.7555 0.9950
H: 0.3728 0.0068 0.7902
H: 0.2630 0.1112 0.5180
H: 0.6301 0.7493 0.5083
H: 0.5776 0.1200 0.3209
H: 0.7280 0.2445 0.0050
H: 0.1437 0.8589 0.9670
H: 0.8563 0.1411 0.0330
H: 0.6272 0.9932 0.2098
H: 0.4224 0.8800 0.6791
C: 0.5298 0.4235 0.9987
C: 0.9625 0.0743 0.6806
C: 0.3248 0.6157 0.5996
C: 0.0716 0.0214 0.7902
C: 0.6752 0.3843 0.4004
C: 0.9668 0.5429 0.9447
C: 0.4898 0.5761 0.6502
C: 0.0375 0.9257 0.3194
C: 0.0332 0.4571 0.0553
C: 0.9284 0.9786 0.2098
C: 0.5102 0.4239 0.3498
C: 0.4702 0.5765 0.0013
O: 0.7895 0.4836 0.4019
O: 0.6093 0.6645 0.6429
O: 0.9709 0.0963 0.1669
O: 0.7805 0.1601 0.9587
O: 0.1268 0.3635 0.0145
O: 0.3907 0.3355 0.3571
O: 0.9955 0.2046 0.6574
O: 0.9881 0.4881 0.1789
O: 0.3275 0.1980 0.5693
O: 0.6859 0.2601 0.4332
O: 0.4882 0.4555 0.6963
O: 0.0045 0.7954 0.3426
O: 0.8009 0.8971 0.1726
O: 0.8501 0.9854 0.6261
O: 0.4664 0.9601 0.7538
O: 0.6556 0.4161 0.0681
O: 0.0291 0.9037 0.8331
O: 0.2105 0.5164 0.5981
O: 0.8732 0.6365 0.9855
O: 0.5510 0.6846 0.0723
O: 0.3444 0.5839 0.9319
O: 0.4490 0.3154 0.9277
O: 0.1991 0.1029 0.8274
O: 0.5336 0.0399 0.2462
O: 0.2195 0.8399 0.0413
O: 0.5118 0.5445 0.3037
O: 0.1499 0.0146 0.3739
O: 0.0119 0.5119 0.8211
O: 0.6725 0.8020 0.4307
O: 0.3140 0.7399 0.5668

=====

No. 3
K2NiH8C2O10 | GGA-PBEsol | relaxed

Properties
Its space-group type is P2_1/c. The crystal system is monoclinic. The total energy comes out at -5.919 eV/atom.

Unit cell a=6.1549 b=6.7742 c=11.0832 alpha=81.20 beta=90.00 gamma=90.00
Site moments in Bohr magnetons follow the coordinates.
Positions (direct):
K: 0.1508 0.9120 0.3185  0.00
K: 0.6508 0.5880 0.1815  0.00
K: 0.3492 0.4120 0.8185  0.00
K: 0.8492 0.0880 0.6815  0.00
Ni: 0.5000 0.5000 0.5000  1.65
Ni: 0.0000 0.0000 0.0000  1.65
H: 0.3249 0.2151 0.0780  0.00
H: 0.8249 0.2849 0.4220  0.00
H: 0.6751 0.7849 0.9220  0.00
H: 0.1751 0.7151 0.5780  0.00
H: 0.1031 0.3170 0.1098  0.00
H: 0.6031 0.1830 0.3902  0.00
H: 0.3427 0.1709 0.6309  0.00
H: 0.8427 0.3291 0.8691  0.00
H: 0.6573 0.8291 0.3691  0.00
H: 0.3969 0.8170 0.6098  0.00
H: 0.6949 0.2205 0.9867  0.00
H: 0.1949 0.2795 0.5133  0.00
H: 0.3051 0.7795 0.0133  0.00
H: 0.8051 0.7205 0.4867  0.00
H: 0.8969 0.6830 0.8902  0.00
H: 0.1573 0.6709 0.1309  0.00
C: 0.3457 0.9257 0.8159  0.00
C: 0.1543 0.4257 0.3159  0.00
C: 0.6543 0.0743 0.1841  0.00
C: 0.8457 0.5743 0.6841  0.00
O: 0.8311 0.7629 0.9507  0.05
O: 0.4204 0.7765 0.8928  0.00
O: 0.2769 0.3032 0.5910  0.06
O: 0.7769 0.1968 0.9090  0.06
O: 0.7231 0.6968 0.4090  0.06
O: 0.2231 0.8032 0.0910  0.06
O: 0.3311 0.7371 0.5493  0.05
O: 0.9204 0.7235 0.6072  0.00
O: 0.6689 0.2629 0.4507  0.05
O: 0.1689 0.2371 0.0493  0.05
O: 0.1835 0.0305 0.8437  0.06
O: 0.6835 0.4695 0.6563  0.06
O: 0.8165 0.9695 0.1563  0.06
O: 0.3165 0.5305 0.3437  0.06
O: 0.9367 0.5298 0.7903  0.01
O: 0.5633 0.0298 0.2903  0.01
O: 0.0796 0.2765 0.3928  0.00
O: 0.4367 0.9702 0.7097  0.01
O: 0.5796 0.2235 0.1072  0.00
O: 0.0633 0.4702 0.2097  0.01

=====

No. 4
KHCO2 | GGA-PBEsol | relaxed

Properties
Its space-group type is Cmcm. The crystal system is orthorhombic. The total energy comes out at -6.194 eV/atom.

Unit cell a=4.4673 b=4.4673 c=6.9105 alpha=90.00 beta=90.00 gamma=98.44
Positions (direct):
H: 0.5630 0.4370 0.2500
H: 0.4370 0.5630 0.7500
K: 0.0000 0.0000 0.0000
K: 0.0000 0.0000 0.5000
C: 0.3973 0.6027 0.2500
C: 0.6027 0.3973 0.7500
O: 0.1182 0.4954 0.2500
O: 0.8818 0.5046 0.7500
O: 0.5046 0.8818 0.2500
O: 0.4954 0.1182 0.7500

=====

No. 5
K4H6C2O9 | GGA-PBEsol | relaxed

Properties
Its space-group type is C2/c. The crystal system is monoclinic. The total energy comes out at -5.817 eV/atom.

Unit cell a=7.1100 b=8.9594 c=8.9594 alpha=96.19 beta=109.71 gamma=109.71
Positions (direct):
K: 0.7500 0.3848 0.6152
K: 0.2500 0.6152 0.3848
K: 0.7500 0.6843 0.3157
K: 0.2500 0.3157 0.6843
K: 0.5356 0.9997 0.2858
K: 0.9644 0.7142 0.0003
K: 0.4644 0.0003 0.7142
K: 0.0356 0.2858 0.9997
H: 0.8448 0.0147 0.1276
H: 0.6552 0.8724 0.9853
H: 0.1552 0.9853 0.8724
H: 0.3448 0.1276 0.0147
H: 0.8716 0.3563 0.2962
H: 0.6284 0.7038 0.6437
H: 0.1284 0.6437 0.7038
H: 0.3716 0.2962 0.3563
H: 0.9520 0.2157 0.3626
H: 0.5480 0.6374 0.7843
H: 0.0480 0.7843 0.6374
H: 0.4520 0.3626 0.2157
C: 0.8489 0.9792 0.6346
C: 0.6511 0.3654 0.0208
C: 0.1511 0.0208 0.3654
C: 0.3489 0.6346 0.9792
O: 0.8527 0.1223 0.6745
O: 0.6473 0.3255 0.8777
O: 0.1473 0.8777 0.3255
O: 0.3527 0.6745 0.1223
O: 0.6646 0.8541 0.5506
O: 0.8354 0.4494 0.1459
O: 0.3354 0.1459 0.4494
O: 0.1646 0.5506 0.8541
O: 0.0310 0.9572 0.6777
O: 0.4690 0.3223 0.0428
O: 0.9690 0.0428 0.3223
O: 0.5310 0.6777 0.9572
O: 0.7500 0.9920 0.0080
O: 0.2500 0.0080 0.9920
O: 0.9160 0.3116 0.3949
O: 0.5840 0.6051 0.6884
O: 0.0840 0.6884 0.6051
O: 0.4160 0.3949 0.3116

=====

No. 6
KHCO3 | GGA-PBEsol | relaxed

Properties
Its space-group type is P-1. The crystal system is triclinic. The total energy comes out at -6.533 eV/atom.

Unit cell a=3.6751 b=5.6090 c=7.9296 alpha=108.40 beta=103.82 gamma=90.65
Positions (direct):
H: 0.4718 0.3009 0.9794
H: 0.5282 0.6991 0.0206
K: 0.7128 0.8270 0.6685
K: 0.2872 0.1730 0.3315
C: 0.1524 0.3789 0.7635
C: 0.8476 0.6211 0.2365
O: 0.2847 0.2111 0.8464
O: 0.7153 0.7889 0.1536
O: 0.2825 0.6122 0.8416
O: 0.7175 0.3878 0.1584
O: 0.9061 0.2975 0.6124
O: 0.0939 0.7025 0.3876

=====

No. 7
KHCO3 | GGA-PBEsol | relaxed

Properties
Its space-group type is P2_1/c. The crystal system is monoclinic. The total energy comes out at -6.532 eV/atom.

Unit cell a=3.6705 b=5.6088 c=14.5988 alpha=90.00 beta=91.02 gamma=90.00
Positions (direct):
K: 0.1215 0.9775 0.1659
K: 0.3785 0.4775 0.3341
K: 0.8785 0.0225 0.8341
K: 0.6215 0.5225 0.6659
H: 0.5194 0.3101 0.0096
H: 0.9806 0.8101 0.4904
H: 0.4806 0.6899 0.9904
H: 0.0194 0.1899 0.5096
C: 0.7272 0.4847 0.1185
C: 0.7728 0.9847 0.3815
C: 0.2728 0.5153 0.8815
C: 0.2272 0.0153 0.6185
O: 0.8977 0.4708 0.1940
O: 0.6023 0.9708 0.3060
O: 0.1023 0.5292 0.8060
O: 0.3977 0.0292 0.6940
O: 0.6344 0.6829 0.0802
O: 0.8656 0.1829 0.4198
O: 0.3656 0.3171 0.9198
O: 0.1344 0.8171 0.5802
O: 0.6384 0.2797 0.0761
O: 0.8616 0.7797 0.4239
O: 0.3616 0.7203 0.9239
O: 0.1384 0.2203 0.5761

=====

No. 8
KTbH2C2SO9 | GGA-PBEsol | relaxed

Properties
Its space-group type is P2_1/c. The crystal system is monoclinic. The total energy comes out at -7.015 eV/atom.

Unit cell a=6.5425 b=8.4828 c=13.3579 alpha=90.00 beta=93.67 gamma=90.00
Positions (direct):
K: 0.7323 0.6460 0.6976
K: 0.7677 0.1460 0.8024
K: 0.2677 0.3540 0.3024
K: 0.2323 0.8540 0.1976
Tb: 0.2543 0.2524 0.5844
Tb: 0.2457 0.7524 0.9156
Tb: 0.7457 0.7476 0.4156
Tb: 0.7543 0.2476 0.0844
H: 0.1421 0.0376 0.4120
H: 0.3579 0.5376 0.0880
H: 0.8579 0.9624 0.5880
H: 0.6421 0.4624 0.9120
H: 0.3846 0.0406 0.4147
H: 0.1154 0.5406 0.0853
H: 0.6154 0.9594 0.5853
H: 0.8846 0.4594 0.9147
C: 0.3653 0.4569 0.7801
C: 0.1347 0.9569 0.7199
C: 0.6347 0.5431 0.2199
C: 0.8653 0.0431 0.2801
C: 0.3675 0.9617 0.7314
C: 0.1325 0.4617 0.7686
C: 0.6325 0.0383 0.2686
C: 0.8675 0.5383 0.2314
S: 0.7348 0.3374 0.4727
S: 0.7652 0.8374 0.0273
S: 0.2652 0.6626 0.5273
S: 0.2348 0.1626 0.9727
O: 0.4573 0.3669 0.7233
O: 0.0427 0.8669 0.7767
O: 0.5427 0.6331 0.2767
O: 0.9573 0.1331 0.2233
O: 0.0503 0.0471 0.6530
O: 0.4497 0.5471 0.8470
O: 0.9497 0.9529 0.3470
O: 0.5503 0.4529 0.1530
O: 0.4545 0.0471 0.6683
O: 0.0455 0.5471 0.8317
O: 0.5455 0.9529 0.3317
O: 0.9545 0.4529 0.1683
O: 0.0438 0.3861 0.6974
O: 0.4562 0.8861 0.8026
O: 0.9562 0.6139 0.3026
O: 0.5438 0.1139 0.1974
O: 0.9399 0.2664 0.4952
O: 0.5601 0.7664 0.0048
O: 0.0601 0.7336 0.5048
O: 0.4399 0.2336 0.9952
O: 0.7441 0.5101 0.4963
O: 0.7559 0.0101 0.0037
O: 0.2559 0.4899 0.5037
O: 0.2441 0.9899 0.9963
O: 0.5889 0.2625 0.5388
O: 0.9111 0.7625 0.9612
O: 0.4111 0.7375 0.4612
O: 0.0889 0.2375 0.0388
O: 0.6705 0.3140 0.3664
O: 0.8295 0.8140 0.1336
O: 0.3295 0.6860 0.6336
O: 0.1705 0.1860 0.8664
O: 0.2656 0.0965 0.4411
O: 0.2344 0.5965 0.0589
O: 0.7344 0.9035 0.5589
O: 0.7656 0.4035 0.9411

=====

Listing DOS at the Fermi energy for the structures above in their given order: 0.0, 0.0, 0.0, 0.0, 0.0, 0.0, 0.0, 0.0 states/eV per cell.